[1]
Here is crystalline K3La3SnS8 at its relaxed geometry from Alexandria via LeMat-Bulk. Energies are from PBE.

Properties
For the total moment, the calculation gives 0.000 μB/atom. For the energy relative to the elements, uncorrected, the calculation gives -1.581 eV per atom. As for the mass density: 3.31 g/cm3.

a b c (Å): 8.3753 8.3753 22.4932
angles (deg): 90.00 90.00 120.00
Closest atoms and distances in Å follow each position.
Space group R-3m (No. 166, hexagonal axes)
Symmetry-distinct sites (fractional):
K 0.0000 0.5000 0.0000 [9 per cell]  6 S 3.25-3.27
La 0.0000 0.5000 0.5000 [9 per cell]  6 S 2.87-2.93
Sn 0.0000 0.0000 0.5000 [3 per cell]  6 S 2.65
S 0.0000 0.0000 0.2354 [6 per cell]  3 La 2.87
S 0.0294 0.5147 0.2320 [18 per cell]  1 Sn 2.65, 2 La 2.93

---

[2]
Here is crystalline KBr2 at its relaxed geometry from Alexandria via LeMat-Bulk. Energies are from PBE.

Properties
For the total moment, the calculation gives 0.334 μB/atom. The calculation puts the energy above the most stable polymorph in this dataset at 0.1791 eV per atom. For the energy relative to the elements, uncorrected, the calculation gives -0.978 eV per atom. As for the mass density: 2.97 g/cm3.

a b c (Å): 4.4793 4.4793 11.0685
angles (deg): 90.00 90.00 90.00
Closest atoms and distances in Å follow each position.
Space group I4/mmm (No. 139)
Symmetry-distinct sites (fractional):
K 0.0000 0.0000 0.0000 [2 per cell]  8 Br 3.48
Br 0.0000 0.0000 0.3696 [4 per cell]  1 Br 2.89

---

[3]
Here is crystalline Li4InSn10 at its relaxed geometry from Alexandria via LeMat-Bulk. Energies are from PBE.

Properties
For the total moment, the calculation gives 0.000 μB/atom. For the formation energy, the calculation gives -85 meV per atom. As for the mass density: 5.79 g/cm3.

a b c (Å): 10.3348 10.3348 7.1371
angles (deg): 90.00 90.00 90.00
Closest atoms and distances in Å follow each position.
Space group I4/m (No. 87)
Symmetry-distinct sites (fractional):
Li 0.1112 0.6852 0.0000 [8 per cell]  8 Sn 2.86-2.92
In 0.0000 0.0000 0.5000 [2 per cell]  8 Sn 3.11
Sn 0.0000 0.5000 0.2500 [4 per cell]  4 Li 2.86
Sn 0.1016 0.2071 0.2193 [16 per cell]  3 Li 2.88-2.92, 1 In 3.11, 3 Sn 3.13-3.22

---

[4]
Here is crystalline LaYHfSn2 at its relaxed geometry from Alexandria via LeMat-Bulk. Energies are from PBE.

Properties
For the total moment, the calculation gives 0.000 μB/atom. For the formation energy, the calculation gives 461 meV per atom. The calculation puts the energy above the most stable polymorph in this dataset at 0.0000 eV per atom. As for the mass density: 6.37 g/cm3.

a b c (Å): 5.6606 5.6606 5.2392
angles (deg): 90.00 90.00 90.00
Closest atoms and distances in Å follow each position.
Space group P4/mmm (No. 123)
Symmetry-distinct sites (fractional):
La 0.0000 0.0000 0.0000 [1 per cell]  8 Sn 3.86, 4 Hf 4.00
Y 0.5000 0.5000 0.5000 [1 per cell]  2 Hf 2.62, 4 Sn 2.83
Hf 0.5000 0.5000 0.0000 [1 per cell]  2 Y 2.62
Sn 0.0000 0.5000 0.5000 [2 per cell]  2 Y 2.83

---

[5]
Here is crystalline CaTeAs2 at its relaxed geometry from Alexandria via LeMat-Bulk. Energies are from PBE.

Properties
For the total moment, the calculation gives 0.000 μB/atom. For the energy relative to the elements, uncorrected, the calculation gives -0.129 eV per atom. As for the mass density: 3.71 g/cm3.

a b c (Å): 6.3468 6.3468 14.1140
angles (deg): 90.00 90.00 90.00
Closest atoms and distances in Å follow each position.
Space group I-42d (No. 122)
Symmetry-distinct sites (fractional):
Ca 0.0000 0.0000 0.0000 [4 per cell]  4 As 2.94
Te 0.0000 0.0000 0.5000 [4 per cell]  4 As 2.77
As 0.2263 0.2500 0.6250 [8 per cell]  2 Te 2.77, 2 Ca 2.94

---

[6]
Here is crystalline CoSe2Br at its relaxed geometry from Alexandria via LeMat-Bulk. Energies are from PBE.

Properties
For the total moment, the calculation gives 0.000 μB/atom. The calculation puts the energy above the most stable polymorph in this dataset at 0.0086 eV per atom. For the energy relative to the elements, uncorrected, the calculation gives -0.198 eV per atom. As for the mass density: 4.97 g/cm3.

a b c (Å): 10.7857 6.3298 7.3911
angles (deg): 90.00 128.21 90.00
Closest atoms and distances in Å follow each position.
Space group Cm (No. 8)
Symmetry-distinct sites (fractional):
Co 0.0000 0.2420 0.0000 [4 per cell]  4 Se 2.31-2.45, 2 Br 2.44-2.46
Se 0.0303 0.5000 0.2465 [2 per cell]  2 Co 2.31, 1 Se 2.38
Se 0.1021 0.5000 0.8754 [2 per cell]  2 Co 2.45, 1 Se 2.45
Se 0.3039 0.0000 0.8506 [2 per cell]  2 Co 2.34, 1 Se 2.38
Se 0.3909 0.5000 0.1252 [2 per cell]  2 Co 2.44, 1 Se 2.45
Br 0.2168 0.0000 0.2578 [2 per cell]  2 Co 2.44
Br 0.4011 0.5000 0.6770 [2 per cell]  2 Co 2.46

---

[7]
Here is crystalline K2Tl2HgCl6 at its relaxed geometry from Alexandria via LeMat-Bulk. Energies are from PBE.

Properties
For the total moment, the calculation gives 0.000 μB/atom. For the energy relative to the elements, uncorrected, the calculation gives -1.234 eV per atom. As for the mass density: 4.07 g/cm3.

a b c (Å): 7.8428 12.8270 7.7354
angles (deg): 90.00 109.12 90.00
Closest atoms and distances in Å follow each position.
Space group C2/m (No. 12)
Symmetry-distinct sites (fractional):
K 0.0000 0.1602 0.0000 [4 per cell]  6 Cl 3.11-3.19
Tl 0.0000 0.3223 0.5000 [4 per cell]  6 Cl 3.16-3.37
Hg 0.0000 0.5000 0.0000 [2 per cell]  6 Cl 2.75
Cl 0.2060 0.5000 0.7722 [4 per cell]  1 Hg 2.75
Cl 0.2173 0.3490 0.2162 [8 per cell]  1 Hg 2.75

---

[8]
Here is crystalline MnIn2Rh at its relaxed geometry from Alexandria via LeMat-Bulk. Energies are from PBE.

Properties
For the total moment, the calculation gives 0.971 μB/atom. For the formation energy, the calculation gives -55 meV per atom. As for the mass density: 8.98 g/cm3.

a b c (Å): 10.2123 3.1749 4.6722
angles (deg): 90.00 108.88 90.00
Closest atoms and distances in Å follow each position.
Space group Cm (No. 8)
Symmetry-distinct sites (fractional):
Mn 0.0000 0.0000 0.0000 [2 per cell]  2 Rh 2.68, 7 In 2.82-2.95
In 0.2426 0.0000 0.8041 [2 per cell]  4 Rh 2.84, 3 Mn 2.91-2.95, 4 In 3.14-3.18
In 0.4624 0.0000 0.4649 [2 per cell]  4 Mn 2.82-2.88, 3 Rh 2.88-2.95, 1 In 3.14
Rh 0.2138 0.5000 0.2839 [2 per cell]  2 Mn 2.68, 7 In 2.84-2.95

---

[9]
Here is crystalline Mg2CrCd at its relaxed geometry from Alexandria via LeMat-Bulk. Energies are from PBE.

Properties
For the total moment, the calculation gives 0.001 μB/atom. For the formation energy, the calculation gives 408 meV per atom. As for the mass density: 4.79 g/cm3.

a b c (Å): 2.9355 2.9355 29.7084
angles (deg): 90.00 90.00 120.00
Closest atoms and distances in Å follow each position.
Space group R-3m (No. 166, hexagonal axes)
Symmetry-distinct sites (fractional):
Mg 0.0000 0.0000 0.2402 [6 per cell]  3 Cr 2.77, 6 Mg 2.94
Cr 0.0000 0.0000 0.5000 [3 per cell]  6 Mg 2.77, 6 Cr 2.94
Cd 0.0000 0.0000 0.0000 [3 per cell]  6 Cd 2.94, 6 Mg 3.24

---

[10]
Here is crystalline Ac2TbPrBi4 at its relaxed geometry from Alexandria via LeMat-Bulk. Energies are from PBE.

Properties
For the total moment, the calculation gives 0.000 μB/atom. For the formation energy, the calculation gives -947 meV per atom. As for the mass density: 8.84 g/cm3.

a b c (Å): 8.1827 4.7281 8.1851
angles (deg): 90.00 109.46 90.00
Closest atoms and distances in Å follow each position.
Space group P2/m (No. 10)
Symmetry-distinct sites (fractional):
Ac 0.0000 0.0000 0.0000 [1 per cell]  6 Bi 3.40
Ac 0.5000 0.5000 0.0000 [1 per cell]  6 Bi 3.44
Tb 0.0000 0.5000 0.5000 [1 per cell]  6 Bi 3.24-3.25
Pr 0.5000 0.0000 0.5000 [1 per cell]  6 Bi 3.29
Bi 0.2395 0.0000 0.7312 [2 per cell]  2 Tb 3.25, 1 Pr 3.29, 3 Ac 3.40-3.44
Bi 0.2509 0.5000 0.2658 [2 per cell]  1 Tb 3.24, 2 Pr 3.29, 3 Ac 3.40-3.44

---

[11]
Here is crystalline PrAl8Co2 at its relaxed geometry from Alexandria via LeMat-Bulk. Energies are from PBE.

Properties
For the total moment, the calculation gives 0.000 μB/atom. For the formation energy, the calculation gives 61 meV per atom. The calculation puts the energy above the most stable polymorph in this dataset at 0.5306 eV per atom. As for the mass density: 3.14 g/cm3.

a b c (Å): 5.6063 5.6063 7.9810
angles (deg): 90.00 90.00 90.00
Closest atoms and distances in Å follow each position.
Space group P4/mmm (No. 123)
Symmetry-distinct sites (fractional):
Pr 0.0000 0.0000 0.0000 [1 per cell]  8 Al 3.29
Al 0.2491 0.2491 0.3298 [8 per cell]  2 Co 2.40
Co 0.0000 0.5000 0.5000 [2 per cell]  8 Al 2.40

---

[12]
Here is crystalline CoMo2HRh at its relaxed geometry from Alexandria via LeMat-Bulk. Energies are from PBE.

Properties
For the total moment, the calculation gives 0.000 μB/atom. The calculation puts the energy above the most stable polymorph in this dataset at 0.0000 eV per atom. As for the mass density: 10.14 g/cm3.

a b c (Å): 3.8990 3.8990 3.8227
angles (deg): 90.00 90.00 90.00
Closest atoms and distances in Å follow each position.
Space group P4/mmm (No. 123)
Symmetry-distinct sites (fractional):
Co 0.0000 0.0000 0.0000 [1 per cell]  2 H 1.91
Mo 0.0000 0.5000 0.5000 [2 per cell]  2 H 1.95
H 0.0000 0.0000 0.5000 [1 per cell]  2 Co 1.91, 4 Mo 1.95
Rh 0.5000 0.5000 0.0000 [1 per cell]  8 Mo 2.73, 4 Co 2.76

---

[13]
Here is crystalline LaPaCo2Si2 at its relaxed geometry from Alexandria via LeMat-Bulk. Energies are from PBE.

Properties
For the total moment, the calculation gives 0.000 μB/atom. For the energy relative to the elements, uncorrected, the calculation gives -0.641 eV per atom. As for the mass density: 7.99 g/cm3.

a b c (Å): 3.9918 3.9918 8.1934
angles (deg): 90.00 90.00 120.00
Closest atoms and distances in Å follow each position.
Space group P-3m1 (No. 164)
Symmetry-distinct sites (fractional):
La 0.0000 0.0000 0.0000 [1 per cell]  6 Si 3.14, 6 Co 3.32
Pa 0.0000 0.0000 0.5000 [1 per cell]  6 Co 2.87, 6 Si 3.03
Co 0.3333 0.6667 0.7091 [2 per cell]  3 Si 2.32
Si 0.3333 0.6667 0.2598 [2 per cell]  3 Co 2.32

---

[14]
Here is crystalline CsRbBa2As at its relaxed geometry from Alexandria via LeMat-Bulk. Energies are from PBE.

Properties
For the total moment, the calculation gives 0.000 μB/atom. For the formation energy, the calculation gives -356 meV per atom. The calculation puts the energy above the most stable polymorph in this dataset at 0.0000 eV per atom. As for the mass density: 2.92 g/cm3.

a b c (Å): 6.5330 6.5330 7.5698
angles (deg): 90.00 90.00 90.00
Closest atoms and distances in Å follow each position.
Space group P4/mmm (No. 123)
Symmetry-distinct sites (fractional):
Cs 0.0000 0.0000 0.0000 [1 per cell]  2 As 3.78
Rb 0.5000 0.5000 0.0000 [1 per cell]  4 Cs 4.62, 8 Ba 5.00
Ba 0.0000 0.5000 0.5000 [2 per cell]  2 As 3.27
As 0.0000 0.0000 0.5000 [1 per cell]  4 Ba 3.27

---

[15]
Here is crystalline Na5B7C3 at its relaxed geometry from Alexandria via LeMat-Bulk. Energies are from PBE.

Properties
For the total moment, the calculation gives 0.000 μB/atom. For the formation energy, the calculation gives 148 meV per atom. The calculation puts the energy above the most stable polymorph in this dataset at 0.0354 eV per atom. As for the mass density: 2.41 g/cm3.

a b c (Å): 8.5723 14.5382 5.0173
angles (deg): 90.00 90.00 90.00
Closest atoms and distances in Å follow each position.
Space group Amm2 (No. 38)
Symmetry-distinct sites (fractional):
Na 0.2467 0.0000 0.9996 [4 per cell]  8 B 2.70-2.76, 4 C 2.70-2.72, 6 Na 2.90-2.91
Na 0.2491 0.2004 0.0000 [8 per cell]  9 B 2.64-2.83, 3 C 2.71-2.78, 6 Na 2.89-2.91
Na 0.2501 0.1002 0.4985 [8 per cell]  8 B 2.68-2.75, 4 C 2.70-2.73, 6 Na 2.89-2.91
B 0.0000 0.0000 0.6462 [2 per cell]  1 C 1.56
B 0.0000 0.1010 0.1773 [4 per cell]  2 C 1.64-1.67, 1 B 1.71
B 0.0000 0.1011 0.8357 [4 per cell]  3 B 1.71-1.76
B 0.0000 0.2048 0.6552 [4 per cell]  2 C 1.62-1.65, 1 B 1.76
B 0.5000 0.0000 0.3364 [2 per cell]  3 C 1.61-1.68
B 0.5000 0.0943 0.8350 [4 per cell]  2 C 1.60-1.69, 1 B 1.74
B 0.5000 0.1926 0.3045 [4 per cell]  1 C 1.57, 1 B 1.67
B 0.5000 0.2010 0.6804 [4 per cell]  2 B 1.67-1.74
C 0.0000 0.0000 0.3356 [2 per cell]  3 B 1.56-1.67
C 0.0000 0.1999 0.3332 [4 per cell]  3 B 1.62-1.65
C 0.5000 0.0000 0.6717 [2 per cell]  3 B 1.60-1.68
C 0.5000 0.0950 0.1717 [4 per cell]  3 B 1.57-1.69